First-principles (PBE-GGA) data for NaVN2 after structural relaxation, as listed in the Alexandria database.

Properties
The calculated total energy comes out at -7.49 eV/atom. Its crystal system is tetragonal. The density is 3.04 g/cm³.

Cell: 5.176 5.176 8.307 Å, 90.00 90.00 90.00°
Space group I-42d (No. 122)
Symmetry-distinct sites (fractional):
Na (0.000, 0.000, 0.000)
V (0.000, 0.000, 0.500)
N (0.142, 0.250, 0.625)



First-principles (PBE-GGA) data for PmPr2CdO after structural relaxation, as listed in the Alexandria database.

Properties
The calculated total energy comes out at -5.31 eV/atom. Its crystal system is tetragonal. The density is 7.34 g/cm³.

Cell: 5.041 5.041 4.940 Å, 90.00 90.00 90.00°
Space group P4/mmm (No. 123)
Symmetry-distinct sites (fractional):
Pm (0.000, 0.000, 0.000)
Pr (0.000, 0.500, 0.500)
Cd (0.500, 0.500, 0.000)
O (0.000, 0.000, 0.500)



First-principles (PBE-GGA) data for MnNiIr2 after structural relaxation, as listed in the Alexandria database.

Properties
Its crystal system is orthorhombic. The density is 15.73 g/cm³. The value obtained for the formation energy is -0.09 eV per atom.

Cell: 2.736 3.553 5.409 Å, 90.00 90.00 90.00°
Space group Pmmm (No. 47)
Symmetry-distinct sites (fractional):
Mn (0.000, 0.000, 0.000)
Ni (0.000, 0.000, 0.500)
Ir (0.500, 0.500, 0.253)



First-principles (PBE-GGA) data for RbAuNF2 after structural relaxation, as listed in the Alexandria database.

Properties
The calculated total energy comes out at -3.91 eV/atom. Its crystal system is tetragonal. The density is 6.18 g/cm³.

Cell: 4.887 4.887 3.766 Å, 90.00 90.00 90.00°
Space group P4/mmm (No. 123)
Symmetry-distinct sites (fractional):
Rb (0.000, 0.000, 0.000)
Au (0.500, 0.500, 0.500)
N (0.500, 0.500, 0.000)
F (0.000, 0.500, 0.500)



> What is the formula in the fourth record?

RbAuNF2